Record 1
Density functional theory data (PBE-GGA) for crystalline TmUCo2 at its relaxed geometry.

density of states at the Fermi level	5.5	states/eV per cell
electronic total energy	-7.64	eV per atom
formation enthalpy at 0 K	-13.9	kJ/mol of atoms

Cell lengths 3.259, 3.259, 6.661 Å; angles 90.00, 90.00, 90.00 degrees
Site moments in Bohr magnetons follow the coordinates.
Element x y z (fractional)
Co1 0.000 0.000 0.794  -0.21
Co2 0.000 0.000 0.206  -0.21
Tm1 0.500 0.500 0.500  0.05
U1 0.500 0.500 0.000  1.03

Record 2
Density functional theory data (PBE-GGA) for crystalline Y2HfFe2 at its relaxed geometry.

energy relative to the lowest polymorph listed for this composition	0.766	eV per atom
density of states at the Fermi level	5.7	states/eV per cell
electronic total energy	-7.16	eV per atom
formation enthalpy at 0 K	77.6	kJ/mol of atoms

Cell lengths 4.842, 4.842, 5.775 Å; angles 65.22, 65.22, 90.00 degrees
Site moments in Bohr magnetons follow the coordinates.
Element x y z (fractional)
Fe1 0.250 0.750 0.500  1.71
Fe2 0.750 0.250 0.500  1.71
Y1 0.344 0.344 0.311  -0.16
Y2 0.656 0.656 0.689  -0.16
Hf1 0.000 0.000 0.000  -0.24

Record 3
Density functional theory data (PBE-GGA) for crystalline AcHo2MnN4 at its relaxed geometry.

density of states at the Fermi level	7.4	states/eV per cell
formation energy without anion corrections	-9.58	eV/f.u.
electronic total energy	-8.16	eV per atom

Cell lengths 3.473, 6.150, 11.677 Å; angles 90.00, 90.00, 106.40 degrees
Site moments in Bohr magnetons follow the coordinates.
Element x y z (fractional)
Mn1 0.168 0.335 0.250  2.79
Mn2 0.832 0.665 0.750  2.79
N1 0.265 0.529 0.377  0.05
N2 0.000 0.000 0.500  0.04
N3 0.265 0.529 0.123  0.05
N4 0.583 0.167 0.250  -0.02
N5 0.417 0.833 0.750  -0.02
N6 0.735 0.471 0.623  0.05
N7 0.000 0.000 0.000  0.04
N8 0.735 0.471 0.877  0.05
Ac1 0.099 0.199 0.750  0.10
Ac2 0.901 0.801 0.250  0.10
Ho1 0.630 0.261 0.045  0.08
Ho2 0.370 0.739 0.545  0.08
Ho3 0.630 0.261 0.455  0.08
Ho4 0.370 0.739 0.955  0.08

Record 4
Density functional theory data (PBE-GGA) for crystalline Li2FeSe at its relaxed geometry.

density of states at the Fermi level	1.1	states/eV per cell
formation energy without anion corrections	-0.96	eV/f.u.
electronic total energy	-4.18	eV per atom

Cell lengths 4.479, 4.479, 3.985 Å; angles 72.60, 72.60, 47.75 degrees
Site moments in Bohr magnetons follow the coordinates.
Element x y z (fractional)
Se1 0.516 0.516 0.423  0.03
Fe1 0.236 0.236 0.320  2.26
Li1 0.751 0.751 0.770  -0.06
Li2 0.998 0.998 0.988  -0.06

Record 5
Density functional theory data (PBE-GGA) for crystalline As2PbW at its relaxed geometry.

density of states at the Fermi level	3.1	states/eV per cell
electronic total energy	-5.91	eV per atom
formation enthalpy at 0 K	55.8	kJ/mol of atoms

Cell lengths 4.638, 3.737, 5.191 Å; angles 77.21, 90.00, 90.00 degrees
Element x y z (fractional)
As1 0.000 0.554 0.580
As2 0.000 0.946 0.920
Pb1 0.500 0.250 0.250
W1 0.500 0.750 0.750

Record 6
Density functional theory data (PBE-GGA) for crystalline BaPtN2O at its relaxed geometry.

density of states at the Fermi level	5.8	states/eV per cell
formation energy without anion corrections	10.51	eV/f.u.
electronic total energy	-3.81	eV per atom

Cell lengths 5.245, 5.245, 4.583 Å; angles 90.00, 90.00, 90.00 degrees
Site moments in Bohr magnetons follow the coordinates.
Element x y z (fractional)
Ba1 0.000 0.000 0.000  0.16
N1 0.500 0.000 0.000  1.50
N2 0.000 0.500 0.000  1.50
Pt1 0.500 0.500 0.500  0.72
O1 0.000 0.000 0.500  0.46

Which value of electronic total energy does entry 1 give? -7.64 eV per atom

Repeat the sixth record exactly.
Density functional theory data (PBE-GGA) for crystalline BaPtN2O at its relaxed geometry.

density of states at the Fermi level	5.8	states/eV per cell
formation energy without anion corrections	10.51	eV/f.u.
electronic total energy	-3.81	eV per atom

Cell lengths 5.245, 5.245, 4.583 Å; angles 90.00, 90.00, 90.00 degrees
Site moments in Bohr magnetons follow the coordinates.
Element x y z (fractional)
Ba1 0.000 0.000 0.000  0.16
N1 0.500 0.000 0.000  1.50
N2 0.000 0.500 0.000  1.50
Pt1 0.500 0.500 0.500  0.72
O1 0.000 0.000 0.500  0.46

Look up the electronic total energy of the fourth one. -4.18 eV per atom

Copy entry 3 word for word.
Density functional theory data (PBE-GGA) for crystalline AcHo2MnN4 at its relaxed geometry.

density of states at the Fermi level	7.4	states/eV per cell
formation energy without anion corrections	-9.58	eV/f.u.
electronic total energy	-8.16	eV per atom

Cell lengths 3.473, 6.150, 11.677 Å; angles 90.00, 90.00, 106.40 degrees
Site moments in Bohr magnetons follow the coordinates.
Element x y z (fractional)
Mn1 0.168 0.335 0.250  2.79
Mn2 0.832 0.665 0.750  2.79
N1 0.265 0.529 0.377  0.05
N2 0.000 0.000 0.500  0.04
N3 0.265 0.529 0.123  0.05
N4 0.583 0.167 0.250  -0.02
N5 0.417 0.833 0.750  -0.02
N6 0.735 0.471 0.623  0.05
N7 0.000 0.000 0.000  0.04
N8 0.735 0.471 0.877  0.05
Ac1 0.099 0.199 0.750  0.10
Ac2 0.901 0.801 0.250  0.10
Ho1 0.630 0.261 0.045  0.08
Ho2 0.370 0.739 0.545  0.08
Ho3 0.630 0.261 0.455  0.08
Ho4 0.370 0.739 0.955  0.08